w.
Cr2Fe2Co: optimized geometry, GGA-PBE.

Unit cell a=6.5194 b=6.5194 c=2.6296 alpha=90.00 beta=90.00 gamma=90.00
Last column: nearest neighbours and their distance in Å.
Space group P4/mbm (No. 127)
Asymmetric unit:
Cr (0.1693, 0.3307, 0.0000)  6 Fe 2.25-2.38
Fe (0.1328, 0.6328, 0.5000)  6 Cr 2.25-2.38, 1 Fe 2.45
Co (0.0000, 0.0000, 0.5000)  4 Fe 2.55, 2 Co 2.63, 8 Cr 2.76

x.
Cr2Fe2Co: optimized geometry, GGA-PBE.

Unit cell a=6.7332 b=6.7332 c=2.5209 alpha=90.00 beta=90.00 gamma=90.00
Last column: nearest neighbours and their distance in Å.
Space group P4/mbm (No. 127)
Asymmetric unit:
Cr (0.1318, 0.3682, 0.0000)  6 Fe 2.30-2.38, 3 Cr 2.51-2.52
Fe (0.1661, 0.6661, 0.5000)  6 Cr 2.30-2.38, 2 Fe 2.52
Co (0.0000, 0.0000, 0.0000)  2 Co 2.52, 4 Cr 2.63, 8 Fe 2.81

Stability check: which of them is least stable? x.

w.
CrFe3Co: optimized geometry, GGA-PBE.

Unit cell a=4.6895 b=8.0394 c=6.9358 alpha=90.00 beta=118.89 gamma=90.00
Last column: nearest neighbours and their distance in Å.
Space group P2_1/c (No. 14)
Asymmetric unit:
Cr (0.2018, 0.1271, 0.1510)  7 Fe 2.44-2.47, 1 Co 2.49
Fe (0.0039, 0.1243, 0.7520)  3 Co 2.44-2.46, 3 Cr 2.44-2.47, 2 Fe 2.45-2.46
Fe (0.3959, 0.6238, 0.5473)  4 Fe 2.44-2.46, 2 Cr 2.45-2.46, 2 Co 2.46-2.47
Fe (0.4060, 0.1249, 0.5534)  2 Cr 2.44-2.47, 4 Fe 2.45-2.46, 2 Co 2.45-2.47
Co (0.1915, 0.6257, 0.1464)  7 Fe 2.44-2.47, 1 Cr 2.49

x.
CrFe3Co: optimized geometry, GGA-PBE.

Unit cell a=4.2979 b=4.2979 c=4.2979 alpha=90.00 beta=90.00 gamma=90.00
Last column: nearest neighbours and their distance in Å.
Space group Pm-3m (No. 221)
Asymmetric unit:
Cr (0.0000, 0.0000, 0.0000)  12 Fe 3.04
Fe (0.0000, 0.5000, 0.5000)  2 Co 2.15
Co (0.5000, 0.5000, 0.5000)  6 Fe 2.15

Stability check: which of them is least stable? x.

w.
CrFeCo3: optimized geometry, GGA-PBE.

Unit cell a=4.1332 b=4.1332 c=4.1332 alpha=90.00 beta=90.00 gamma=90.00
Last column: nearest neighbours and their distance in Å.
Space group Pm-3m (No. 221)
Asymmetric unit:
Cr (0.0000, 0.0000, 0.0000)  6 Co 2.07
Fe (0.5000, 0.5000, 0.5000)  12 Co 2.92
Co (0.0000, 0.0000, 0.5000)  2 Cr 2.07

x.
CrFeCo3: optimized geometry, GGA-PBE.

Unit cell a=4.5972 b=11.9292 c=4.4337 alpha=90.00 beta=90.00 gamma=90.00
Last column: nearest neighbours and their distance in Å.
Space group Cmcm (No. 63)
Asymmetric unit:
Cr (0.0000, 0.1813, 0.2500)  8 Co 2.33-2.54
Fe (0.0000, 0.4395, 0.7500)  2 Fe 2.65, 10 Co 2.65-2.72, 2 Cr 2.71
Co (0.0000, 0.0000, 0.0000)  6 Co 2.22-2.39, 2 Cr 2.43
Co (0.2432, 0.3524, 0.2500)  4 Co 2.24-2.39, 1 Cr 2.33

Stability check: which of them is least stable? w.

w.
CrFeCo: optimized geometry, GGA-PBE.

Unit cell a=3.9977 b=3.9977 c=2.4270 alpha=90.00 beta=90.00 gamma=120.00
Last column: nearest neighbours and their distance in Å.
Space group P3m1 (No. 156)
Asymmetric unit:
Cr (0.0000, 0.0000, 0.0000)  3 Fe 2.41, 2 Cr 2.43, 3 Co 2.48
Fe (0.6667, 0.3333, 0.2831)  3 Cr 2.41, 2 Fe 2.43, 3 Co 2.45
Co (0.3333, 0.6667, 0.6227)  2 Co 2.43, 3 Fe 2.45, 3 Cr 2.48

x.
CrFeCo: optimized geometry, GGA-PBE.

Unit cell a=5.4527 b=5.4527 c=5.4527 alpha=90.00 beta=90.00 gamma=90.00
Last column: nearest neighbours and their distance in Å.
Space group F-43m (No. 216)
Asymmetric unit:
Cr (0.0000, 0.0000, 0.0000)  4 Fe 2.36
Fe (0.2500, 0.2500, 0.7500)  4 Cr 2.36, 4 Co 2.36
Co (0.0000, 0.0000, 0.5000)  4 Fe 2.36

y.
CrFeCo: optimized geometry, GGA-PBE.

Unit cell a=4.6994 b=4.9499 c=6.3746 alpha=67.25 beta=71.53 gamma=74.62
Last column: nearest neighbours and their distance in Å.
Space group P-1 (No. 2)
Asymmetric unit:
Cr (0.0594, 0.3841, 0.1972)  5 Fe 2.42-2.52, 4 Co 2.46-2.50, 3 Cr 2.47-2.50
Cr (0.0614, 0.8854, 0.1945)  5 Co 2.41-2.49, 4 Fe 2.46-2.52, 3 Cr 2.47-2.48
Fe (0.2860, 0.9404, 0.4737)  4 Fe 2.39-2.54, 4 Co 2.41-2.49, 4 Cr 2.45-2.52
Fe (0.3928, 0.7215, 0.8612)  5 Cr 2.42-2.52, 4 Co 2.43-2.51, 3 Fe 2.43-2.48
Co (0.2778, 0.4434, 0.4768)  4 Fe 2.41-2.51, 4 Co 2.43-2.51, 4 Cr 2.45-2.49
Co (0.3932, 0.2188, 0.8618)  3 Co 2.41-2.51, 5 Cr 2.41-2.50, 4 Fe 2.43-2.49

z.
CrFeCo: optimized geometry, GGA-PBE.

Unit cell a=2.4602 b=2.4602 c=10.9143 alpha=90.00 beta=90.00 gamma=90.00
Last column: nearest neighbours and their distance in Å.
Space group I4mm (No. 107)
Asymmetric unit:
Cr (0.0000, 0.0000, 0.0000)  4 Cr 2.46, 4 Co 2.47, 4 Fe 2.59
Fe (0.0000, 0.0000, 0.3237)  4 Fe 2.46, 4 Co 2.49, 4 Cr 2.59
Co (0.0000, 0.0000, 0.6603)  4 Co 2.46, 4 Cr 2.47, 4 Fe 2.49

Stability check: which of them is least stable? x.

w.
CrFeCo: optimized geometry, GGA-PBE.

Unit cell a=2.4751 b=3.5437 c=7.5250 alpha=90.00 beta=90.00 gamma=90.00
Last column: nearest neighbours and their distance in Å.
Space group Imm2 (No. 44)
Asymmetric unit:
Cr (0.0000, 0.0000, 0.0000)  2 Cr 2.48, 5 Fe 2.48-2.51, 5 Co 2.49-2.52
Fe (0.0000, 0.0000, 0.6700)  2 Fe 2.48, 5 Cr 2.48-2.51, 5 Co 2.49-2.52
Co (0.0000, 0.0000, 0.3347)  2 Co 2.48, 5 Fe 2.49-2.52, 5 Cr 2.49-2.52

x.
CrFeCo: optimized geometry, GGA-PBE.

Unit cell a=2.8517 b=3.9607 c=12.0479 alpha=90.00 beta=90.00 gamma=90.00
Last column: nearest neighbours and their distance in Å.
Space group Fmm2 (No. 42)
Asymmetric unit:
Cr (0.0000, 0.0000, 0.0000)  4 Cr 2.44, 2 Fe 2.46, 2 Co 2.47
Fe (0.0000, 0.0000, 0.3333)  4 Fe 2.44, 2 Co 2.46, 2 Cr 2.46
Co (0.0000, 0.0000, 0.6674)  4 Co 2.44, 2 Fe 2.46, 2 Cr 2.47

Stability check: which of them is least stable? x.

w.
Cr2FeCo2: optimized geometry, GGA-PBE.

Unit cell a=6.6492 b=6.6492 c=2.5255 alpha=90.00 beta=90.00 gamma=90.00
Last column: nearest neighbours and their distance in Å.
Space group P4/mbm (No. 127)
Asymmetric unit:
Cr (0.1734, 0.3266, 0.0000)  6 Co 2.27-2.38, 2 Cr 2.53
Fe (0.0000, 0.0000, 0.5000)  2 Fe 2.53, 4 Co 2.63, 8 Cr 2.76
Co (0.1257, 0.6257, 0.5000)  6 Cr 2.27-2.38, 3 Co 2.36-2.53

x.
Cr2FeCo2: optimized geometry, GGA-PBE.

Unit cell a=3.3996 b=3.3996 c=10.3624 alpha=90.00 beta=90.00 gamma=90.00
Last column: nearest neighbours and their distance in Å.
Space group I4/mmm (No. 139)
Asymmetric unit:
Cr (0.0000, 0.5000, 0.2500)  4 Co 2.29, 4 Cr 2.40
Fe (0.0000, 0.0000, 0.0000)  8 Co 2.62
Co (0.0000, 0.0000, 0.3986)  1 Co 2.10, 4 Cr 2.29

Stability check: which of them is least stable? x.

w.
CrFeCoNi: optimized geometry, GGA-PBE.

Unit cell a=4.3690 b=4.0096 c=5.0363 alpha=90.00 beta=90.26 gamma=90.00
Last column: nearest neighbours and their distance in Å.
Space group Pm (No. 6)
Asymmetric unit:
Cr (0.0000, 0.0000, 0.0000)  4 Ni 2.48, 4 Co 2.48-2.56, 4 Fe 2.49-2.57
Cr (0.3265, 0.5000, 0.5034)  4 Fe 2.47-2.56, 4 Co 2.48-2.49, 4 Ni 2.51-2.53
Fe (0.4924, 0.0000, 0.2579)  4 Cr 2.47-2.57, 2 Ni 2.48, 2 Fe 2.50, 4 Co 2.51-2.53
Fe (0.8361, 0.5000, 0.2547)  2 Co 2.47, 4 Cr 2.48-2.56, 4 Ni 2.50-2.53, 2 Fe 2.50
Co (0.4983, 0.0000, 0.7559)  4 Ni 2.46-2.47, 4 Cr 2.49-2.51, 2 Co 2.49-2.54, 2 Fe 2.51-2.53
Co (0.9912, 0.0000, 0.5079)  2 Ni 2.46, 4 Fe 2.47-2.53, 4 Cr 2.48-2.56, 2 Co 2.49-2.54
Ni (0.3337, 0.5000, 0.0010)  2 Co 2.46, 4 Cr 2.48-2.53, 4 Fe 2.48-2.53, 2 Ni 2.50-2.54
Ni (0.8272, 0.5000, 0.7519)  4 Co 2.46-2.47, 4 Cr 2.48-2.52, 2 Ni 2.50-2.54, 2 Fe 2.50-2.53

x.
CrFeCoNi: optimized geometry, GGA-PBE.

Unit cell a=5.6191 b=5.6191 c=5.6191 alpha=90.00 beta=90.00 gamma=90.00
Last column: nearest neighbours and their distance in Å.
Space group F-43m (No. 216)
Asymmetric unit:
Cr (0.0000, 0.0000, 0.0000)  4 Fe 2.43, 4 Co 2.43
Fe (0.2500, 0.2500, 0.2500)  4 Cr 2.43, 4 Ni 2.43
Co (0.2500, 0.2500, 0.7500)  4 Cr 2.43, 4 Ni 2.43
Ni (0.0000, 0.0000, 0.5000)  4 Fe 2.43, 4 Co 2.43

Stability check: which of them is least stable? x.

w.
Cr3CoGe: optimized geometry, GGA-PBE.

Unit cell a=4.6210 b=4.6210 c=4.6210 alpha=90.00 beta=90.00 gamma=90.00
Last column: nearest neighbours and their distance in Å.
Space group Pm-3m (No. 221)
Asymmetric unit:
Cr (0.0000, 0.0000, 0.5000)  2 Ge 2.31
Co (0.5000, 0.5000, 0.5000)  12 Cr 3.27
Ge (0.0000, 0.0000, 0.0000)  6 Cr 2.31

x.
Cr3CoGe: optimized geometry, GGA-PBE.

Unit cell a=4.2868 b=4.2868 c=4.2868 alpha=90.00 beta=90.00 gamma=90.00
Last column: nearest neighbours and their distance in Å.
Space group Pm-3m (No. 221)
Asymmetric unit:
Cr (0.0000, 0.0000, 0.5000)  2 Co 2.14
Co (0.0000, 0.0000, 0.0000)  6 Cr 2.14
Ge (0.5000, 0.5000, 0.5000)  12 Cr 3.03

Stability check: which of them is least stable? w.

w.
Cr2CoH: optimized geometry, GGA-PBE.

Unit cell a=2.5208 b=2.5208 c=5.7210 alpha=90.00 beta=90.00 gamma=90.00
Last column: nearest neighbours and their distance in Å.
Space group P4/mmm (No. 123)
Asymmetric unit:
Cr (0.0000, 0.0000, 0.1972)  4 H 2.11, 1 Cr 2.26
Co (0.5000, 0.5000, 0.5000)  8 Cr 2.49, 4 Co 2.52
H (0.5000, 0.5000, 0.0000)  8 Cr 2.11

x.
Cr2CoH: optimized geometry, GGA-PBE.

Unit cell a=5.3938 b=5.3938 c=5.3938 alpha=90.00 beta=90.00 gamma=90.00
Last column: nearest neighbours and their distance in Å.
Space group Fm-3m (No. 225)
Asymmetric unit:
Cr (0.2500, 0.2500, 0.2500)  4 H 2.34, 4 Co 2.34
Co (0.0000, 0.0000, 0.0000)  8 Cr 2.34
H (0.0000, 0.0000, 0.5000)  8 Cr 2.34

y.
Cr2CoH: optimized geometry, GGA-PBE.

Unit cell a=4.1264 b=4.1264 c=10.0002 alpha=90.00 beta=90.00 gamma=90.00
Last column: nearest neighbours and their distance in Å.
Space group I-42d (No. 122)
Asymmetric unit:
Cr (0.1275, 0.2500, 0.1250)  2 H 1.70
Co (0.0000, 0.0000, 0.5000)  4 Cr 2.23
H (0.0000, 0.0000, 0.0000)  4 Cr 1.70

Stability check: which of them is least stable? y.

w.
Cr2CoH: optimized geometry, GGA-PBE.

Unit cell a=2.4851 b=2.4851 c=22.0117 alpha=90.00 beta=90.00 gamma=120.00
Last column: nearest neighbours and their distance in Å.
Space group R-3m (No. 166, hexagonal axes)
Asymmetric unit:
Cr (0.0000, 0.0000, 0.0747)  1 H 1.64
Co (0.0000, 0.0000, 0.5000)  6 Cr 2.48, 6 Co 2.49
H (0.0000, 0.0000, 0.0000)  2 Cr 1.64

x.
Cr2CoH: optimized geometry, GGA-PBE.

Unit cell a=4.4196 b=2.5660 c=6.4740 alpha=90.00 beta=103.45 gamma=90.00
Last column: nearest neighbours and their distance in Å.
Space group C2/m (No. 12)
Asymmetric unit:
Cr (0.2291, 0.0000, 0.1831)  3 H 1.87-1.88
Co (0.0000, 0.0000, 0.5000)  6 Cr 2.48-2.49, 6 Co 2.56-2.57
H (0.0000, 0.5000, 0.0000)  6 Cr 1.87-1.88

Stability check: which of them is least stable? w.

w.
CrCo3H: optimized geometry, GGA-PBE.

Unit cell a=4.1764 b=4.1764 c=4.1764 alpha=90.00 beta=90.00 gamma=90.00
Last column: nearest neighbours and their distance in Å.
Space group Pm-3m (No. 221)
Asymmetric unit:
Cr (0.0000, 0.0000, 0.0000)  6 Co 2.09
Co (0.0000, 0.0000, 0.5000)  2 Cr 2.09
H (0.5000, 0.5000, 0.5000)  12 Co 2.95

x.
CrCo3H: optimized geometry, GGA-PBE.

Unit cell a=3.5748 b=3.5748 c=3.5748 alpha=90.00 beta=90.00 gamma=90.00
Last column: nearest neighbours and their distance in Å.
Space group Pm-3m (No. 221)
Asymmetric unit:
Cr (0.0000, 0.0000, 0.0000)  12 Co 2.53
Co (0.0000, 0.5000, 0.5000)  2 H 1.79
H (0.5000, 0.5000, 0.5000)  6 Co 1.79

y.
CrCo3H: optimized geometry, GGA-PBE.

Unit cell a=4.0674 b=5.0100 c=4.4232 alpha=90.00 beta=90.25 gamma=90.00
Last column: nearest neighbours and their distance in Å.
Space group P2_1/m (No. 11)
Asymmetric unit:
Cr (0.2419, 0.2500, 0.3487)  1 H 1.91
Co (0.2440, 0.0006, 0.8289)  2 H 1.79-1.80
Co (0.2470, 0.7500, 0.3439)  1 H 1.80
H (0.4916, 0.7500, 0.0058)  5 Co 1.79-1.80, 1 Cr 1.91

Stability check: which of them is least stable? w.